No. 1
VASP calculation (PBEsol) on CuSiOF2 after structural relaxation.

Geometry as CIF:
```
data_CuSiOF2
_symmetry_space_group_name_H-M 'P 4/m m m'
_symmetry_Int_Tables_number 123
_symmetry_space_group_name_Hall '-P 4 2'
_cell_length_a 3.856
_cell_length_b 3.856
_cell_length_c 3.857
_cell_angle_alpha 90.00
_cell_angle_beta 90.00
_cell_angle_gamma 90.00
loop_
_atom_site_label
_atom_site_type_symbol
_atom_site_fract_x
_atom_site_fract_y
_atom_site_fract_z
Cu1 Cu 0.000 0.000 0.000
Si1 Si 0.500 0.500 0.500
O1 O 0.000 0.000 0.500
F1 F 0.000 0.500 0.000
```

No. 2
VASP calculation (PBEsol) on CuSiO2F after structural relaxation.

Geometry as CIF:
```
data_CuSiO2F
_symmetry_space_group_name_H-M 'P 4/m m m'
_symmetry_Int_Tables_number 123
_symmetry_space_group_name_Hall '-P 4 2'
_cell_length_a 3.772
_cell_length_b 3.772
_cell_length_c 3.727
_cell_angle_alpha 90.00
_cell_angle_beta 90.00
_cell_angle_gamma 90.00
loop_
_atom_site_label
_atom_site_type_symbol
_atom_site_fract_x
_atom_site_fract_y
_atom_site_fract_z
Cu1 Cu 0.000 0.000 0.000
Si1 Si 0.500 0.500 0.500
O1 O 0.000 0.500 0.000
F1 F 0.000 0.000 0.500
```

No. 3
VASP calculation (PBEsol) on CuSiO2F after structural relaxation.

Geometry as CIF:
```
data_CuSiO2F
_symmetry_space_group_name_H-M 'P 4/m m m'
_symmetry_Int_Tables_number 123
_symmetry_space_group_name_Hall '-P 4 2'
_cell_length_a 3.462
_cell_length_b 3.462
_cell_length_c 3.708
_cell_angle_alpha 90.00
_cell_angle_beta 90.00
_cell_angle_gamma 90.00
loop_
_atom_site_label
_atom_site_type_symbol
_atom_site_fract_x
_atom_site_fract_y
_atom_site_fract_z
Cu1 Cu 0.000 0.000 0.000
Si1 Si 0.500 0.500 0.500
O1 O 0.000 0.500 0.500
F1 F 0.500 0.500 0.000
```

No. 4
VASP calculation (PBEsol) on TaCuO2F after structural relaxation.

Geometry as CIF:
```
data_TaCuO2F
_symmetry_space_group_name_H-M 'P 4/m m m'
_symmetry_Int_Tables_number 123
_symmetry_space_group_name_Hall '-P 4 2'
_cell_length_a 3.816
_cell_length_b 3.816
_cell_length_c 3.674
_cell_angle_alpha 90.00
_cell_angle_beta 90.00
_cell_angle_gamma 90.00
loop_
_atom_site_label
_atom_site_type_symbol
_atom_site_fract_x
_atom_site_fract_y
_atom_site_fract_z
Ta1 Ta 0.000 0.000 0.000
Cu1 Cu 0.500 0.500 0.500
O1 O 0.000 0.500 0.500
F1 F 0.500 0.500 0.000
```

No. 5
VASP calculation (PBEsol) on CuTcO2F after structural relaxation.

Geometry as CIF:
```
data_CuTcO2F
_symmetry_space_group_name_H-M 'P 4/m m m'
_symmetry_Int_Tables_number 123
_symmetry_space_group_name_Hall '-P 4 2'
_cell_length_a 4.181
_cell_length_b 4.181
_cell_length_c 3.554
_cell_angle_alpha 90.00
_cell_angle_beta 90.00
_cell_angle_gamma 90.00
loop_
_atom_site_label
_atom_site_type_symbol
_atom_site_fract_x
_atom_site_fract_y
_atom_site_fract_z
Cu1 Cu 0.000 0.000 0.000
Tc1 Tc 0.500 0.500 0.000
O1 O 0.000 0.500 0.500
F1 F 0.500 0.500 0.500
```

No. 6
VASP calculation (PBEsol) on CuTeOF2 after structural relaxation.

Geometry as CIF:
```
data_CuTeOF2
_symmetry_space_group_name_H-M 'P 4/m m m'
_symmetry_Int_Tables_number 123
_symmetry_space_group_name_Hall '-P 4 2'
_cell_length_a 4.485
_cell_length_b 4.485
_cell_length_c 4.052
_cell_angle_alpha 90.00
_cell_angle_beta 90.00
_cell_angle_gamma 90.00
loop_
_atom_site_label
_atom_site_type_symbol
_atom_site_fract_x
_atom_site_fract_y
_atom_site_fract_z
Cu1 Cu 0.000 0.000 0.000
Te1 Te 0.500 0.500 0.500
O1 O 0.500 0.500 0.000
F1 F 0.000 0.500 0.500
```

No. 7
VASP calculation (PBEsol) on V4Cu13O26F4 after structural relaxation.

Geometry as CIF:
```
data_V4Cu13O26F4
_symmetry_space_group_name_H-M 'P -1'
_symmetry_Int_Tables_number 2
_symmetry_space_group_name_Hall '-P 1'
_cell_length_a 5.539
_cell_length_b 10.302
_cell_length_c 10.816
_cell_angle_alpha 107.77
_cell_angle_beta 103.14
_cell_angle_gamma 98.01
loop_
_atom_site_label
_atom_site_type_symbol
_atom_site_fract_x
_atom_site_fract_y
_atom_site_fract_z
V1 V 0.003 0.299 0.154
V2 V 0.237 0.688 0.339
Cu1 Cu 0.000 0.000 0.500
Cu2 Cu 0.000 0.500 0.500
Cu3 Cu 0.133 0.980 0.783
Cu4 Cu 0.243 0.495 0.997
Cu5 Cu 0.296 0.011 0.081
Cu6 Cu 0.379 0.506 0.754
Cu7 Cu 0.451 0.969 0.319
Cu8 Cu 0.500 0.500 0.500
O1 O 0.014 0.611 0.965
O2 O 0.058 0.361 0.761
O3 O 0.068 0.892 0.909
O4 O 0.143 0.943 0.193
O5 O 0.183 0.641 0.747
O6 O 0.227 0.068 0.666
O7 O 0.260 0.608 0.468
O8 O 0.263 0.427 0.568
O9 O 0.293 0.349 0.256
O10 O 0.322 0.871 0.413
O11 O 0.421 0.628 0.239
O12 O 0.428 0.918 0.764
O13 O 0.490 0.580 0.942
F1 F 0.146 0.135 0.450
F2 F 0.423 0.123 0.996
```

No. 8
VASP calculation (PBEsol) on CuOs3F after structural relaxation.

Geometry as CIF:
```
data_CuOs3F
_symmetry_space_group_name_H-M 'P m -3 m'
_symmetry_Int_Tables_number 221
_symmetry_space_group_name_Hall '-P 4 2 3'
_cell_length_a 4.443
_cell_length_b 4.443
_cell_length_c 4.443
_cell_angle_alpha 90.00
_cell_angle_beta 90.00
_cell_angle_gamma 90.00
loop_
_atom_site_label
_atom_site_type_symbol
_atom_site_fract_x
_atom_site_fract_y
_atom_site_fract_z
Cu1 Cu 0.000 0.000 0.000
Os1 Os 0.000 0.000 0.500
F1 F 0.500 0.500 0.500
```

Taking the records one at a time from the top gives ΔE_f (raw) values of -0.780, -0.465, -1.590, -0.371, 1.036, -0.553, -1.083, 2.624 eV/atom.